1.
Mn2VSbRh: optimized geometry, GGA-PBE.

Cell lengths 4.832, 4.832, 4.522 Å; angles 90.00, 90.00, 90.00 degrees
Fractional positions:
1 Mn 0.000 0.500 0.000
2 Mn 0.500 0.000 0.000
3 V 0.000 0.000 0.500
4 Sb 0.500 0.500 0.500
5 Rh 0.000 0.000 0.000

Calculated values
Final energy ... -7.143 eV per atom
Space group ... P4/mmm

=====

2.
CdTePb2: optimized geometry, GGA-PBE.

Cell lengths 8.556, 8.556, 8.556 Å; angles 132.53, 132.53, 69.39 degrees
Fractional positions:
1 Cd 0.000 0.000 0.000
2 Cd 0.750 0.250 0.500
3 Te 0.250 0.750 0.500
4 Te 0.500 0.500 0.000
5 Pb 0.106 0.625 0.981
6 Pb 0.375 0.356 0.481
7 Pb 0.644 0.125 0.019
8 Pb 0.875 0.894 0.519

Calculated values
Distance to the lowest polymorph of the same formula ... 157.7 meV/atom
Space group ... I-42d

=====

3.
Na2B2Cl7: optimized geometry, GGA-PBE.

Cell lengths 7.012, 7.012, 5.663 Å; angles 97.99, 97.99, 98.77 degrees
Fractional positions:
1 Na 0.215 0.785 0.000
2 Na 0.785 0.215 0.000
3 B 0.275 0.275 0.583
4 B 0.725 0.725 0.417
5 Cl 0.111 0.400 0.758
6 Cl 0.137 0.137 0.291
7 Cl 0.400 0.111 0.758
8 Cl 0.500 0.500 0.500
9 Cl 0.600 0.889 0.242
10 Cl 0.863 0.863 0.709
11 Cl 0.889 0.600 0.242

Calculated values
Final energy ... -3.595 eV per atom
Space group ... C2/m

=====

4.
NaMn2Rh: optimized geometry, GGA-PBE.

Cell lengths 5.572, 5.572, 5.572 Å; angles 101.94, 101.94, 125.89 degrees
Fractional positions:
1 Na 0.000 0.000 0.000
2 Na 0.750 0.250 0.500
3 Mn 0.176 0.625 0.051
4 Mn 0.375 0.426 0.551
5 Mn 0.574 0.125 0.949
6 Mn 0.875 0.824 0.449
7 Rh 0.250 0.750 0.500
8 Rh 0.500 0.500 0.000

Calculated values
Energy of formation from the pure elements ... 1.13 eV/atom
Distance to the lowest polymorph of the same formula ... 126.1 meV/atom
Space group ... I-42d

=====

Number 1: magnetization 6.3 μB/f.u., theoretical density 6.06 g cm⁻³. Number 2: magnetization 0.0 μB/f.u., theoretical density 6.51 g cm⁻³. Number 3: magnetization 1.0 μB/f.u., theoretical density 1.95 g cm⁻³. Number 4: magnetization 0.0 μB/f.u., theoretical density 6.27 g cm⁻³.